Material: Tb2Hg5Bi
Method: DFT, PBE
State: relaxed

The structure in POSCAR format:
```
Tb2Hg5Bi
1.0
6.7390 0.0000 0.0000
0.0000 13.4686 0.0000
0.0000 0.0000 4.4666
Tb Hg Bi
4 10 2
direct
0.2304 0.1197 0.0000
0.2696 0.6197 0.0000
0.7304 0.3803 0.0000
0.7696 0.8803 0.0000
0.0000 0.5000 0.5000
0.0368 0.7453 0.5000
0.2176 0.3636 0.0000
0.2824 0.8636 0.0000
0.4632 0.2453 0.5000
0.5000 0.0000 0.5000
0.5368 0.7547 0.5000
0.7176 0.1364 0.0000
0.7824 0.6364 0.0000
0.9632 0.2547 0.5000
0.0000 0.0000 0.5000
0.5000 0.5000 0.5000
```

Results
As for the formation enthalpy at 0 K: -3.06 eV per formula unit. Its volume is 405.4 Å³ per cell. As for the space-group type: Pbam.

---

Material: InGa2I
Method: DFT, PBE
State: relaxed

The structure in POSCAR format:
```
InGa2I
1.0
7.5982 0.0000 0.0000
0.0000 7.5982 0.0000
0.0000 0.0000 7.5982
In Ga I
4 8 4
direct
0.0000 0.0000 0.0000
0.0000 0.5000 0.5000
0.5000 0.0000 0.5000
0.5000 0.5000 0.0000
0.2500 0.2500 0.2500
0.2500 0.2500 0.7500
0.2500 0.7500 0.2500
0.2500 0.7500 0.7500
0.7500 0.2500 0.2500
0.7500 0.2500 0.7500
0.7500 0.7500 0.2500
0.7500 0.7500 0.7500
0.0000 0.0000 0.5000
0.0000 0.5000 0.0000
0.5000 0.0000 0.0000
0.5000 0.5000 0.5000
```

Results
The value obtained for the energy above the most stable polymorph in this dataset is 0.1003 eV per atom. Its volume is 438.7 Å³ per cell. As for the space-group type: Fm-3m. As for the formation energy (no corrections): 0.167 eV/atom.

---

Material: Tb4B3AsRh12
Method: DFT, PBE
State: relaxed

The structure in POSCAR format:
```
Tb4B3AsRh12
1.0
-4.3025 4.3025 4.3025
4.3025 -4.3025 4.3025
4.3025 4.3025 -4.3025
Tb B As Rh
4 3 1 12
direct
0.0000 0.0000 0.5000
0.0000 0.5000 0.0000
0.5000 0.0000 0.0000
0.5000 0.5000 0.5000
0.0000 0.5000 0.5000
0.5000 0.0000 0.5000
0.5000 0.5000 0.0000
0.0000 0.0000 0.0000
0.0000 0.2674 0.2674
0.0000 0.7326 0.7326
0.2500 0.5000 0.7500
0.2500 0.7500 0.5000
0.2674 0.0000 0.2674
0.2674 0.2674 0.0000
0.5000 0.2500 0.7500
0.5000 0.7500 0.2500
0.7326 0.0000 0.7326
0.7326 0.7326 0.0000
0.7500 0.2500 0.5000
0.7500 0.5000 0.2500
```

Results
As for the formation enthalpy at 0 K: -14.24 eV per formula unit. Its volume is 318.6 Å³ per cell. As for the space-group type: Im-3m.

---

> What is the formula in the third record?

Tb4B3AsRh12